(1)
Material: Ca2TlSi
Method: DFT, PBE
State: optimized geometry

Energy relative to the elements, uncorrected = -0.172 eV per atom
Fermi-level density of states = 0.822 states/eV per atom
Space group = No. 166
Final energy = -3.1200 eV per atom

Unit cell a=9.709 b=9.709 c=9.709 alpha=22.16 beta=22.16 gamma=22.16
Positions (direct):
Ca 0.989 0.989 0.989
Ca 0.511 0.511 0.511
Si 0.250 0.250 0.250
Tl 0.750 0.750 0.750



(2)
Material: Ca3TlSi
Method: DFT, PBE
State: optimized geometry

Energy relative to the elements, uncorrected = 0.380 eV per atom
E above lowest polymorph = 562 meV per atom
Fermi-level density of states = 1.657 states/eV per atom
Space group = No. 221
Final energy = -2.3792 eV per atom

Unit cell a=5.825 b=5.825 c=5.825 alpha=90.00 beta=90.00 gamma=90.00
Positions (direct):
Ca 0.000 0.000 0.500
Ca 0.000 0.500 0.000
Ca 0.500 0.000 0.000
Si 0.500 0.500 0.500
Tl 0.000 0.000 0.000



(3)
Material: Ca8Tl2Si
Method: DFT, PBE
State: optimized geometry

Energy relative to the elements, uncorrected = -0.247 eV per atom
Fermi-level density of states = 0.650 states/eV per atom
Space group = No. 71
Final energy = -2.6263 eV per atom

Unit cell a=5.500 b=7.401 c=9.752 alpha=112.30 beta=106.38 gamma=90.00
Positions (direct):
Ca 0.632 0.393 0.264
Ca 0.000 0.753 0.000
Ca 0.632 0.871 0.264
Ca 0.368 0.129 0.736
Ca 0.198 0.198 0.395
Ca 0.802 0.802 0.605
Ca 0.000 0.247 0.000
Ca 0.368 0.607 0.736
Tl 0.180 0.680 0.360
Tl 0.820 0.320 0.640
Si 0.500 0.000 0.000



(4)
Material: Ca2TlSi
Method: DFT, PBE
State: optimized geometry

Energy relative to the elements, uncorrected = -0.158 eV per atom
Fermi-level density of states = 0.693 states/eV per atom
Space group = No. 119
Final energy = -3.1063 eV per atom

Unit cell a=6.099 b=6.099 c=6.099 alpha=136.28 beta=136.28 gamma=63.54
Positions (direct):
Si 0.500 0.500 0.000
Ca 0.250 0.750 0.500
Ca 0.000 0.000 0.000
Tl 0.750 0.250 0.500



(5)
Material: CaTlSi
Method: DFT, PBE
State: optimized geometry

Energy relative to the elements, uncorrected = -0.025 eV per atom
E above lowest polymorph = 305 meV per atom
Fermi-level density of states = 0.554 states/eV per atom
Space group = No. 107
Final energy = -3.2884 eV per atom

Unit cell a=6.099 b=6.099 c=6.099 alpha=144.74 beta=144.74 gamma=50.73
Positions (direct):
Tl 0.689 0.689 0.000
Ca 0.991 0.991 0.000
Si 0.320 0.320 0.000



(6)
Material: CaTlV2Si
Method: DFT, PBE
State: optimized geometry

Energy relative to the elements, uncorrected = 2.166 eV per atom
Fermi-level density of states = 1.933 states/eV per atom
Space group = No. 123
Final energy = -3.4398 eV per atom

Unit cell a=4.586 b=5.477 c=4.586 alpha=90.00 beta=90.00 gamma=90.00
Positions (direct):
Ca 0.000 0.000 0.000
Tl 0.000 0.500 0.000
V 0.500 0.000 0.000
V 0.000 0.000 0.500
Si 0.500 0.500 0.500



(7)
Material: Ca2YTlSi
Method: DFT, PBE
State: optimized geometry

Energy relative to the elements, uncorrected = 0.422 eV per atom
Fermi-level density of states = 1.272 states/eV per atom
Space group = No. 123
Final energy = -3.2295 eV per atom

Unit cell a=5.714 b=5.755 c=5.714 alpha=90.00 beta=90.00 gamma=90.00
Positions (direct):
Tl 0.000 0.000 0.000
Si 0.500 0.500 0.500
Ca 0.500 0.000 0.000
Ca 0.000 0.000 0.500
Y 0.000 0.500 0.000



(8)
Material: CaTlZnSi2
Method: DFT, PBE
State: optimized geometry

Energy relative to the elements, uncorrected = 0.989 eV per atom
Fermi-level density of states = 0.882 states/eV per atom
Space group = No. 123
Final energy = -2.3082 eV per atom

Unit cell a=5.449 b=5.568 c=5.449 alpha=90.00 beta=90.00 gamma=90.00
Positions (direct):
Tl 0.500 0.500 0.500
Zn 0.000 0.500 0.000
Si 0.500 0.000 0.000
Si 0.000 0.000 0.500
Ca 0.000 0.000 0.000